(1)
Mg5CdIn: optimized geometry, PBE.

Summary:
Excess energy over the best structure of this formula in the dataset: 0.0130 eV per atom
Energy of formation: 9 meV/atom
Energy: -0.121 Ry per atom

Unit cell a=10.517 b=11.241 c=6.141 alpha=90.00 beta=112.07 gamma=90.00
Space group C2/c (No. 15)
Asymmetric unit:
Mg: 0.000 0.112 0.250 [4 per cell]
Mg: 0.025 0.363 0.018 [8 per cell]
Mg: 0.249 0.027 0.132 [8 per cell]
Cd: 0.000 0.144 0.750 [4 per cell]
In: 0.250 0.250 0.500 [4 per cell]


(2)
CrCdPdAu: optimized geometry, PBE.

Summary:
Energy of formation: -52 meV/atom
Energy: -0.353 Ry per atom

Unit cell a=6.522 b=6.522 c=6.522 alpha=90.00 beta=90.00 gamma=90.00
Space group F-43m (No. 216)
Asymmetric unit:
Cr: 0.000 0.000 0.000 [4 per cell]
Cd: 0.000 0.000 0.500 [4 per cell]
Pd: 0.250 0.250 0.750 [4 per cell]
Au: 0.250 0.250 0.250 [4 per cell]


(3)
La8Nd3Sc2: optimized geometry, PBE.

Summary:
Energy of formation: 196 meV/atom
Energy: -0.361 Ry per atom

Unit cell a=7.824 b=20.103 c=5.868 alpha=90.00 beta=90.00 gamma=90.00
Space group Cmmm (No. 65)
Asymmetric unit:
La: 0.000 0.134 0.000 [4 per cell]
La: 0.000 0.318 0.000 [4 per cell]
La: 0.202 0.388 0.500 [8 per cell]
Nd: 0.000 0.000 0.500 [2 per cell]
Nd: 0.214 0.500 0.000 [4 per cell]
Sc: 0.000 0.240 0.500 [4 per cell]


(4)
Cs3Ge4Pt: optimized geometry, PBE.

Summary:
Energy of formation: -287 meV/atom
Energy: -0.270 Ry per atom

Unit cell a=7.374 b=13.572 c=5.959 alpha=90.00 beta=90.00 gamma=90.00
Space group Pmmn (No. 59, origin choice 2)
Asymmetric unit:
Cs: 0.250 0.015 0.157 [4 per cell]
Cs: 0.250 0.250 0.564 [2 per cell]
Ge: 0.064 0.750 0.946 [4 per cell]
Ge: 0.250 0.647 0.656 [4 per cell]
Pt: 0.250 0.750 0.303 [2 per cell]


(5)
Rb4Ce3PrSe8: optimized geometry, PBE.

Summary:
Formation energy without anion corrections: -1.687 eV per atom
Energy: -0.374 Ry per atom

Unit cell a=8.8269 b=8.8269 c=23.9831 alpha=90.00 beta=90.00 gamma=120.00
Space group R-3m (No. 166, hexagonal axes)
Asymmetric unit:
Rb: 0.0000 0.0000 0.0000 [3 per cell]
Rb: 0.0000 0.5000 0.0000 [9 per cell]
Ce: 0.0000 0.5000 0.5000 [9 per cell]
Pr: 0.0000 0.0000 0.5000 [3 per cell]
Se: 0.0000 0.0000 0.2330 [6 per cell]
Se: 0.0013 0.5007 0.7665 [18 per cell]


(6)
MgSiIr2: optimized geometry, PBE.

Summary:
Formation energy without anion corrections: -0.415 eV per atom
Energy: -0.485 Ry per atom

Unit cell a=9.306 b=2.907 c=4.418 alpha=90.00 beta=107.53 gamma=90.00
Space group Cm (No. 8)
Asymmetric unit:
Mg: 0.000 0.000 0.000 [2 per cell]
Si: 0.263 0.500 0.387 [2 per cell]
Ir: 0.250 0.000 0.878 [2 per cell]
Ir: 0.492 0.000 0.483 [2 per cell]


(7)
AcPr3Cd3: optimized geometry, PBE.

Summary:
Energy of formation: -109 meV/atom
Energy: -0.231 Ry per atom

Unit cell a=8.3974 b=8.3974 c=21.6036 alpha=90.00 beta=90.00 gamma=120.00
Space group R-3 (No. 148, hexagonal axes)
Asymmetric unit:
Ac: 0.0000 0.0000 0.1557 [6 per cell]
Pr: 0.0484 0.5890 0.3756 [18 per cell]
Cd: 0.0051 0.7868 0.5568 [18 per cell]


(8)
Sc2CoHg: optimized geometry, PBE.

Summary:
Energy of formation: 111 meV/atom
Energy: -0.361 Ry per atom

Unit cell a=3.2269 b=3.2269 c=26.9502 alpha=90.00 beta=90.00 gamma=120.00
Space group R3m (No. 160, hexagonal axes)
Asymmetric unit:
Sc: 0.0000 0.0000 0.0000 [3 per cell]
Sc: 0.0000 0.0000 0.2315 [3 per cell]
Co: 0.0000 0.0000 0.4985 [3 per cell]
Hg: 0.0000 0.0000 0.7566 [3 per cell]


(9)
Ac2TmPdSe5: optimized geometry, PBE.

Summary:
Formation energy without anion corrections: -1.668 eV per atom
Energy: -0.411 Ry per atom

Unit cell a=4.152 b=17.831 c=12.815 alpha=90.00 beta=90.00 gamma=90.00
Space group Cmc2_1 (No. 36)
Asymmetric unit:
Ac: 0.000 0.112 0.000 [4 per cell]
Ac: 0.000 0.127 0.355 [4 per cell]
Tm: 0.000 0.177 0.677 [4 per cell]
Pd: 0.000 0.443 0.083 [4 per cell]
Se: 0.000 0.019 0.683 [4 per cell]
Se: 0.000 0.302 0.021 [4 per cell]
Se: 0.000 0.308 0.333 [4 per cell]
Se: 0.000 0.338 0.674 [4 per cell]
Se: 0.000 0.499 0.901 [4 per cell]


(10)
BeFe2SnC: optimized geometry, PBE.

Summary:
Energy of formation: 167 meV/atom
Energy: -0.486 Ry per atom

Unit cell a=3.885 b=3.885 c=3.637 alpha=90.00 beta=90.00 gamma=90.00
Space group P4/mmm (No. 123)
Asymmetric unit:
Be: 0.000 0.000 0.000 [1 per cell]
Fe: 0.000 0.500 0.500 [2 per cell]
Sn: 0.500 0.500 0.000 [1 per cell]
C: 0.000 0.000 0.500 [1 per cell]


(11)
ThTeAs: optimized geometry, PBE.

Summary:
Formation energy without anion corrections: -1.170 eV per atom
Energy: -0.459 Ry per atom

Unit cell a=4.301 b=4.301 c=8.955 alpha=90.00 beta=90.00 gamma=90.00
Space group P4/nmm (No. 129, origin choice 2)
Asymmetric unit:
Th: 0.250 0.250 0.243 [2 per cell]
Te: 0.250 0.250 0.628 [2 per cell]
As: 0.250 0.750 0.000 [2 per cell]


(12)
YMn2Au2: optimized geometry, PBE.

Summary:
Excess energy over the best structure of this formula in the dataset: 0.0000 eV per atom
Energy of formation: -118 meV/atom
Energy: -0.470 Ry per atom

Unit cell a=7.744 b=7.744 c=3.150 alpha=90.00 beta=90.00 gamma=90.00
Space group P4/mbm (No. 127)
Asymmetric unit:
Y: 0.000 0.000 0.000 [2 per cell]
Mn: 0.129 0.371 0.000 [4 per cell]
Au: 0.168 0.668 0.500 [4 per cell]


(13)
NaAlTe2N: optimized geometry, PBE.

Summary:
Excess energy over the best structure of this formula in the dataset: 1.2832 eV per atom
Formation energy without anion corrections: 1.185 eV per atom
Energy: -0.202 Ry per atom

Unit cell a=5.638 b=5.638 c=4.327 alpha=90.00 beta=90.00 gamma=90.00
Space group P4/mmm (No. 123)
Asymmetric unit:
Na: 0.000 0.000 0.000 [1 per cell]
Al: 0.500 0.500 0.500 [1 per cell]
Te: 0.000 0.500 0.000 [2 per cell]
N: 0.000 0.000 0.500 [1 per cell]


(14)
Rb3Na2Hg: optimized geometry, PBE.

Summary:
Energy of formation: -28 meV/atom
Energy: -0.074 Ry per atom

Unit cell a=12.708 b=11.976 c=10.082 alpha=90.00 beta=110.83 gamma=90.00
Space group C2/c (No. 15)
Asymmetric unit:
Rb: 0.000 0.119 0.250 [4 per cell]
Rb: 0.168 0.426 0.973 [8 per cell]
Na: 0.188 0.232 0.632 [8 per cell]
Hg: 0.000 0.182 0.750 [4 per cell]